--- P ---
Compound: ZrReF2
Source: Alexandria via LeMat-Bulk
Functional: PBE
Structure: optimized geometry

a = 7.782 Å, b = 7.782 Å, c = 7.782 Å
α = 20.77°, β = 20.77°, γ = 20.77°
Fractional positions:
Zr (0.000, 0.000, 0.000)
Re (0.500, 0.500, 0.500)
F (0.405, 0.405, 0.405)
F (0.595, 0.595, 0.595)

Summary:
Fermi-level density of states (states/eV per atom): 0.523
Total magnetic moment (μB/cell): 0.0

--- Q ---
Compound: ZrReF2
Source: Alexandria via LeMat-Bulk
Functional: PBE
Structure: optimized geometry

a = 4.612 Å, b = 4.612 Å, c = 4.612 Å
α = 51.11°, β = 51.11°, γ = 51.11°
Fractional positions:
Zr (0.000, 0.000, 0.000)
Re (0.500, 0.500, 0.500)
F (0.185, 0.185, 0.185)
F (0.815, 0.815, 0.815)

Summary:
Fermi-level density of states (states/eV per atom): 0.821
Total magnetic moment (μB/cell): 0.0

--- R ---
Compound: ZrReF2
Source: Alexandria via LeMat-Bulk
Functional: PBE
Structure: optimized geometry

a = 8.252 Å, b = 8.252 Å, c = 8.252 Å
α = 153.50°, β = 153.50°, γ = 37.83°
Fractional positions:
Zr (0.000, 0.000, 0.000)
Zr (0.750, 0.250, 0.500)
Re (0.250, 0.750, 0.500)
Re (0.500, 0.500, 0.000)
F (0.131, 0.625, 0.006)
F (0.375, 0.381, 0.506)
F (0.619, 0.125, 0.994)
F (0.875, 0.869, 0.494)

Summary:
Fermi-level density of states (states/eV per atom): 0.886
Total magnetic moment (μB/cell): 0.0

Tell me which of them is the most stable. Sure, it is P.